! K2WSe | Alexandria via LeMat-Bulk | PBE-GGA | optimized geometry; values from VASP
! Raw formation energy: 0.616 eV/atom
! M_tot: 0.0 μB/f.u.
! SG: P4mm
! Density: 4.5 g cm⁻³
! DFT total energy: -4.042 eV per atom
&SYSTEM
  ibrav = 0, nat = 4, ntyp = 3
/
ATOMIC_SPECIES
K 39.10 K.upf
W 183.84 W.upf
Se 78.96 Se.upf
ATOMIC_POSITIONS crystal
K 0.000 0.000 0.000
K 0.500 0.500 0.351
W 0.500 0.500 0.635
Se 0.000 0.000 0.727
CELL_PARAMETERS angstrom
3.344 0.000 0.000
0.000 3.344 0.000
0.000 0.000 11.331